A plane-wave DFT calculation with PBE was carried out for crystalline Pr12Ga6Ni at its relaxed geometry.

Unit cell a=8.300 b=8.300 c=8.300 alpha=92.86 beta=92.86 gamma=92.86
Fractional coordinates of all 19 atoms:
Pr 0.048 0.931 0.690
Pr 0.069 0.310 0.952
Pr 0.178 0.419 0.539
Pr 0.310 0.952 0.069
Pr 0.419 0.539 0.178
Pr 0.461 0.822 0.581
Pr 0.539 0.178 0.419
Pr 0.581 0.461 0.822
Pr 0.690 0.048 0.931
Pr 0.822 0.581 0.461
Pr 0.931 0.690 0.048
Pr 0.952 0.069 0.310
Ga 0.157 0.759 0.352
Ga 0.241 0.648 0.843
Ga 0.352 0.157 0.759
Ga 0.648 0.843 0.241
Ga 0.759 0.352 0.157
Ga 0.843 0.241 0.648
Ni 0.500 0.500 0.500

Calculated values
total energy	-4.5657	eV/atom
Fermi-level density of states	19.793	states/eV/cell
ΔH_f (0 K)	-0.29	eV/atom
space-group type	R-3